DFT (PBE-GGA) results for an optimized crystal structure of YAlCl2.

Energy above the most stable polymorph in this dataset   119 meV/atom
E_form (uncorrected)   -0.95 eV/atom
Final energy   -4.42 eV/atom
Total moment   0.00 μB per formula unit
Density of states at the Fermi level   1.0 states/eV/cell

abc: 3.4667 5.7076 7.2773
angles: 38.25 90.00 90.00
Element x y z (fractional)
Y: 0.5000 0.5000 0.5000
Al: 0.0000 0.0000 0.5000
Cl: 0.0000 0.0000 0.0000
Cl: 0.5000 0.5000 0.0000

---

DFT (PBE-GGA) results for an optimized crystal structure of YAl2Cl.

Energy above the most stable polymorph in this dataset   85 meV/atom
E_form (uncorrected)   -0.44 eV/atom
Final energy   -4.39 eV/atom
Total moment   0.00 μB per formula unit
Density of states at the Fermi level   3.3 states/eV/cell

abc: 6.1946 6.1946 6.1946
angles: 143.07 143.07 53.21
Element x y z (fractional)
Al: 0.0000 0.0000 0.0000
Al: 0.5000 0.5000 0.0000
Cl: 0.2500 0.7500 0.5000
Y: 0.7500 0.2500 0.5000

---

DFT (PBE-GGA) results for an optimized crystal structure of YAl2Cl.

Energy above the most stable polymorph in this dataset   402 meV/atom
E_form (uncorrected)   -0.13 eV/atom
Final energy   -4.08 eV/atom
Total moment   0.00 μB per formula unit
Density of states at the Fermi level   1.6 states/eV/cell

abc: 9.3581 9.3581 7.1012
angles: 48.78 48.78 90.00
Element x y z (fractional)
Al: 0.8750 0.9081 0.7500
Al: 0.0919 0.6250 0.2500
Al: 0.6581 0.1250 0.2500
Al: 0.3750 0.3419 0.7500
Cl: 0.2500 0.7500 0.5000
Cl: 0.5000 0.5000 0.0000
Y: 0.7500 0.2500 0.5000
Y: 0.0000 0.0000 0.0000

---

DFT (PBE-GGA) results for an optimized crystal structure of YAl2Cl.

Energy above the most stable polymorph in this dataset   424 meV/atom
E_form (uncorrected)   -0.11 eV/atom
Final energy   -4.06 eV/atom
Total moment   0.00 μB per formula unit
Density of states at the Fermi level   2.7 states/eV/cell

abc: 3.2809 3.2809 9.0734
angles: 90.00 90.00 113.39
Element x y z (fractional)
Cl: 0.5000 0.5000 0.2500
Al: 0.0000 0.0000 0.4861
Al: 0.0000 0.0000 0.0139
Y: 0.5000 0.5000 0.7500

---

DFT (PBE-GGA) results for an optimized crystal structure of YAl2Cl.

Energy above the most stable polymorph in this dataset   317 meV/atom
E_form (uncorrected)   -0.21 eV/atom
Final energy   -4.16 eV/atom
Total moment   0.00 μB per formula unit
Density of states at the Fermi level   2.4 states/eV/cell

abc: 5.1801 5.1801 3.4424
angles: 90.00 90.00 90.00
Element x y z (fractional)
Al: 0.0000 0.0000 0.0000
Al: 0.5000 0.5000 0.0000
Cl: 0.5000 0.0000 0.5000
Y: 0.0000 0.5000 0.5000

---

DFT (PBE-GGA) results for an optimized crystal structure of YAlCl2.

Energy above the most stable polymorph in this dataset   7 meV/atom
E_form (uncorrected)   -1.06 eV/atom
Final energy   -4.53 eV/atom
Total moment   1.01 μB per formula unit
Density of states at the Fermi level   2.2 states/eV/cell

abc: 9.8959 9.8959 9.8959
angles: 20.65 20.65 20.65
Site moments in Bohr magnetons follow the coordinates.
Element x y z (fractional)
Cl: 0.2265 0.2265 0.2265  0.01
Cl: 0.0263 0.0263 0.0263  0.04
Y: 0.4982 0.4982 0.4982  0.40
Al: 0.7491 0.7491 0.7491  0.02

---

DFT (PBE-GGA) results for an optimized crystal structure of YAlCl2.

Energy above the most stable polymorph in this dataset   67 meV/atom
E_form (uncorrected)   -1.00 eV/atom
Final energy   -4.47 eV/atom
Total moment   0.53 μB per formula unit
Density of states at the Fermi level   3.4 states/eV/cell

abc: 10.2274 10.2274 10.2274
angles: 19.82 19.82 19.82
Site moments in Bohr magnetons follow the coordinates.
Element x y z (fractional)
Al: 0.7500 0.7500 0.7500  0.04
Cl: 0.9780 0.9780 0.9780  0.01
Cl: 0.5220 0.5220 0.5220  0.01
Y: 0.2500 0.2500 0.2500  0.13

---

DFT (PBE-GGA) results for an optimized crystal structure of YAl2Cl.

Energy above the most stable polymorph in this dataset   335 meV/atom
E_form (uncorrected)   -0.19 eV/atom
Final energy   -4.14 eV/atom
Total moment   0.00 μB per formula unit
Density of states at the Fermi level   1.9 states/eV/cell

abc: 9.3003 9.3003 9.3003
angles: 20.80 20.80 20.80
Element x y z (fractional)
Cl: 0.2500 0.2500 0.2500
Y: 0.7500 0.7500 0.7500
Al: 0.5065 0.5065 0.5065
Al: 0.9935 0.9935 0.9935

---

DFT (PBE-GGA) results for an optimized crystal structure of YAlCl2.

Energy above the most stable polymorph in this dataset   82 meV/atom
E_form (uncorrected)   -0.98 eV/atom
Final energy   -4.46 eV/atom
Total moment   0.00 μB per formula unit
Density of states at the Fermi level   1.1 states/eV/cell

abc: 3.5633 3.5633 9.7544
angles: 90.00 90.00 118.12
Element x y z (fractional)
Cl: 0.5000 0.5000 0.3120
Cl: 0.0000 0.0000 0.9218
Al: 0.5000 0.5000 0.7556
Y: 0.0000 0.0000 0.5106

---

DFT (PBE-GGA) results for an optimized crystal structure of YAlCl.

E_form (uncorrected)   -1.21 eV/atom
Final energy   -5.23 eV/atom
Total moment   0.00 μB per formula unit
Density of states at the Fermi level   1.8 states/eV/cell

abc: 4.1760 4.1760 10.9379
angles: 90.40 100.59 120.01
Element x y z (fractional)
Cl: 0.5560 0.2845 0.8404
Cl: 0.4440 0.7155 0.1596
Y: 0.1286 0.5681 0.6967
Y: 0.8714 0.4319 0.3033
Al: 0.6813 0.8411 0.5224
Al: 0.3187 0.1589 0.4776

---

DFT (PBE-GGA) results for an optimized crystal structure of YAlCl2.

Energy above the most stable polymorph in this dataset   174 meV/atom
E_form (uncorrected)   -0.89 eV/atom
Final energy   -4.37 eV/atom
Total moment   0.00 μB per formula unit
Density of states at the Fermi level   1.3 states/eV/cell

abc: 3.5884 3.5884 9.9254
angles: 90.00 90.00 121.41
Element x y z (fractional)
Cl: 0.0000 0.0000 0.4564
Cl: 0.0000 0.0000 0.0436
Al: 0.5000 0.5000 0.7500
Y: 0.5000 0.5000 0.2500

---

DFT (PBE-GGA) results for an optimized crystal structure of Y2AlCl.

Energy above the most stable polymorph in this dataset   965 meV/atom
E_form (uncorrected)   0.10 eV/atom
Final energy   -4.53 eV/atom
Total moment   0.00 μB per formula unit
Density of states at the Fermi level   2.7 states/eV/cell

abc: 5.2181 5.2181 5.2181
angles: 60.00 60.00 60.00
Element x y z (fractional)
Al: 0.5000 0.5000 0.5000
Y: 0.0000 0.0000 0.0000
Y: 0.2500 0.2500 0.2500
Cl: 0.7500 0.7500 0.7500